The following is a PBE-GGA calculation of a geometry-optimized CsTl2InRh structure, from the Alexandria database.

The structure in CIF format:
```
data_CsTl2InRh
_cell_length_a 5.4400
_cell_length_b 5.4400
_cell_length_c 5.3052
_cell_angle_alpha 90.00
_cell_angle_beta 90.00
_cell_angle_gamma 90.00
_space_group_name_H-M_alt 'P 4/m m m'
_space_group_IT_number 123
_space_group_name_Hall '-P 4 2'
loop_
_atom_site_label
_atom_site_fract_x
_atom_site_fract_y
_atom_site_fract_z
Cs1 0.0000 0.0000 0.0000
Tl1 0.0000 0.5000 0.5000
In1 0.5000 0.5000 0.0000
Rh1 0.5000 0.5000 0.5000
```

## Properties
- Final energy: -0.238 Ry per atom
- ΔE_f: -0.10 eV per atom

***

The following is a PBE-GGA calculation of a geometry-optimized KCdTc2 structure, from the Alexandria database.

The structure in CIF format:
```
data_KCdTc2
_cell_length_a 3.6119
_cell_length_b 4.7865
_cell_length_c 13.1479
_cell_angle_alpha 90.00
_cell_angle_beta 90.00
_cell_angle_gamma 90.00
_space_group_name_H-M_alt 'I m m 2'
_space_group_IT_number 44
loop_
_space_group_symop_operation_xyz
'x,y,z'
'-x,-y,z'
'-x,y,z'
'x,-y,z'
'x+1/2,y+1/2,z+1/2'
'-x+1/2,-y+1/2,z+1/2'
'-x+1/2,y+1/2,z+1/2'
'x+1/2,-y+1/2,z+1/2'
loop_
_atom_site_label
_atom_site_fract_x
_atom_site_fract_y
_atom_site_fract_z
K1 0.0000 0.0000 0.0000
Cd1 0.0000 0.5000 0.2317
Tc1 0.0000 0.0000 0.3468
Tc2 0.0000 0.5000 0.7420
```

## Properties
- Final energy: -0.353 Ry per atom
- ΔE_f: 0.88 eV per atom

***

The following is a PBE-GGA calculation of a geometry-optimized Hf4Ni5P6 structure, from the Alexandria database.

The structure in CIF format:
```
data_Hf4Ni5P6
_cell_length_a 3.6609
_cell_length_b 17.3563
_cell_length_c 13.5227
_cell_angle_alpha 90.00
_cell_angle_beta 90.00
_cell_angle_gamma 90.00
_space_group_name_H-M_alt 'C m c 21'
_space_group_IT_number 36
loop_
_space_group_symop_operation_xyz
'x,y,z'
'-x,-y,z+1/2'
'-x,y,z'
'x,-y,z+1/2'
'x+1/2,y+1/2,z'
'-x+1/2,-y+1/2,z+1/2'
'-x+1/2,y+1/2,z'
'x+1/2,-y+1/2,z+1/2'
loop_
_atom_site_label
_atom_site_fract_x
_atom_site_fract_y
_atom_site_fract_z
Hf1 0.0000 0.0062 0.0000
Hf2 0.0000 0.0316 0.2659
Hf3 0.0000 0.1728 0.7952
Hf4 0.0000 0.1882 0.4347
Ni1 0.0000 0.1414 0.1181
Ni2 0.0000 0.2988 0.1126
Ni3 0.0000 0.3459 0.7698
Ni4 0.0000 0.3610 0.4709
Ni5 0.0000 0.4390 0.1716
P1 0.0000 0.1222 0.6075
P2 0.0000 0.2142 0.9862
P3 0.0000 0.2245 0.2465
P4 0.0000 0.4205 0.9050
P5 0.0000 0.4335 0.6263
P6 0.0000 0.4355 0.3413
```

## Properties
- Final energy: -0.567 Ry per atom
- ΔE_f: -0.97 eV per atom

***

The following is a PBE-GGA calculation of a geometry-optimized Ca4Pt2Pb structure, from the Alexandria database.

The structure in CIF format:
```
data_Ca4Pt2Pb
_cell_length_a 4.8827
_cell_length_b 4.8827
_cell_length_c 29.5085
_cell_angle_alpha 90.00
_cell_angle_beta 90.00
_cell_angle_gamma 120.00
_space_group_name_H-M_alt 'R -3 m'
_space_group_IT_number 166
_space_group_name_Hall '-R 3 2"'
loop_
_atom_site_label
_atom_site_fract_x
_atom_site_fract_y
_atom_site_fract_z
Ca1 0.0000 0.0000 0.1108
Ca2 0.0000 0.0000 0.2986
Pt1 0.0000 0.0000 0.4026
Pb1 0.0000 0.0000 0.5000
```

## Properties
- Final energy: -0.297 Ry per atom
- Distance to the lowest polymorph of the same formula: 66 meV/atom
- ΔE_f: -0.64 eV per atom